# BaSmGaO4

An optimized crystal structure of BaSmGaO4 (GGA-PBE, the Alexandria database).

Cell lengths 5.8328, 5.9099, 7.2849 Å; angles 90.00, 108.11, 90.00 degrees
With the nearest neighbours (Å) after each atom.
Fractional coordinates of all 14 atoms:
Ba 0.7112 0.7500 0.9306  2 O 2.53-2.63
Ba 0.2888 0.2500 0.0694  2 O 2.53-2.63
Sm 0.8023 0.7500 0.4598  6 O 2.34-2.48
Sm 0.1977 0.2500 0.5402  6 O 2.34-2.48
Ga 0.2572 0.7500 0.3273  4 O 1.85-1.89
Ga 0.7428 0.2500 0.6727  4 O 1.85-1.89
O 0.9693 0.4862 0.7041  1 Ga 1.89
O 0.0307 0.9862 0.2959  1 Ga 1.89
O 0.0307 0.5138 0.2959  1 Ga 1.89
O 0.9693 0.0138 0.7041  1 Ga 1.89
O 0.4534 0.7500 0.1692  1 Ga 1.86
O 0.5466 0.2500 0.8308  1 Ga 1.86
O 0.4695 0.7500 0.5757  1 Ga 1.85
O 0.5305 0.2500 0.4243  1 Ga 1.85

Output
Its symmetry is P2_1/m (11). As for the calculated volume: 17.05 Å³/atom. The value obtained for the total magnetization is 0.00 μB/cell. The density of states at the Fermi level comes out at 0.00 states/eV/f.u.

# Ba2GaSnO6

An optimized crystal structure of Ba2GaSnO6 (GGA-PBE, the Alexandria database).

Cell lengths 5.8939, 5.8939, 10.4419 Å; angles 73.61, 73.61, 60.00 degrees
With the nearest neighbours (Å) after each atom.
Fractional coordinates of all 20 atoms:
Ba 0.8698 0.8698 0.3906  12 O 2.96-3.16
Ba 0.1302 0.1302 0.6094  12 O 2.96-3.16
Ba 0.7140 0.7140 0.8580  12 O 2.91-3.11
Ba 0.2860 0.2860 0.1420  12 O 2.91-3.11
Ga 0.0000 0.0000 0.0000  6 O 2.01
Ga 0.5000 0.5000 0.5000  6 O 2.02
Sn 0.5920 0.5920 0.2239  6 O 2.05-2.13
Sn 0.4080 0.4080 0.7761  6 O 2.05-2.13
O 0.8501 0.3896 0.3708  1 Ga 2.02, 1 Sn 2.13
O 0.3896 0.8501 0.3708  1 Ga 2.02, 1 Sn 2.13
O 0.3896 0.3896 0.3708  1 Ga 2.02, 1 Sn 2.13
O 0.1499 0.6104 0.6292  1 Ga 2.02, 1 Sn 2.13
O 0.6104 0.1499 0.6292  1 Ga 2.02, 1 Sn 2.13
O 0.6104 0.6104 0.6292  1 Ga 2.02, 1 Sn 2.13
O 0.7175 0.2001 0.8823  1 Ga 2.01, 1 Sn 2.05
O 0.2001 0.7175 0.8823  1 Ga 2.01, 1 Sn 2.05
O 0.2001 0.2001 0.8823  1 Ga 2.01, 1 Sn 2.05
O 0.2825 0.7999 0.1177  1 Ga 2.01, 1 Sn 2.05
O 0.7999 0.2825 0.1177  1 Ga 2.01, 1 Sn 2.05
O 0.7999 0.7999 0.1177  1 Ga 2.01, 1 Sn 2.05

Output
Its symmetry is R-3m (166). As for the calculated volume: 14.85 Å³/atom. The value obtained for the total magnetization is 1.93 μB/cell. The density of states at the Fermi level comes out at 7.55 states/eV/f.u.

# Ba2SrGa2O6

An optimized crystal structure of Ba2SrGa2O6 (GGA-PBE, the Alexandria database).

Cell lengths 6.1381, 6.1381, 7.3211 Å; angles 65.22, 65.22, 60.00 degrees
With the nearest neighbours (Å) after each atom.
Fractional coordinates of all 11 atoms:
Ba 0.7987 0.7987 0.6039  3 O 2.73
Ba 0.2013 0.2013 0.3961  3 O 2.73
Sr 0.0000 0.0000 0.0000  6 O 2.50
Ga 0.4240 0.4240 0.7281  3 O 1.79
Ga 0.5760 0.5760 0.2719  3 O 1.79
O 0.7424 0.7424 0.2776  1 Ga 1.79
O 0.2376 0.7424 0.2776  1 Ga 1.79
O 0.7424 0.2376 0.2776  1 Ga 1.79
O 0.2576 0.7624 0.7224  1 Ga 1.79
O 0.7624 0.2576 0.7224  1 Ga 1.79
O 0.2576 0.2576 0.7224  1 Ga 1.79

Output
Its symmetry is R-3m (166). As for the calculated volume: 19.00 Å³/atom. The value obtained for the total magnetization is 0.00 μB/cell. The density of states at the Fermi level comes out at 0.00 states/eV/f.u.

# Ba2SrGaO5

An optimized crystal structure of Ba2SrGaO5 (GGA-PBE, the Alexandria database).

Cell lengths 3.6391, 7.8118, 11.6177 Å; angles 90.00, 90.00, 103.47 degrees
With the nearest neighbours (Å) after each atom.
Fractional coordinates of all 18 atoms:
Ba 0.8480 0.6960 0.8386  7 O 2.73-2.98
Ba 0.1025 0.2051 0.6778  6 O 2.73-2.87
Ba 0.1520 0.3040 0.3386  7 O 2.73-2.98
Ba 0.8975 0.7949 0.1778  6 O 2.73-2.87
Sr 0.8153 0.6305 0.5373  6 O 2.44-2.62
Sr 0.1847 0.3695 0.0373  6 O 2.44-2.62
Ga 0.5343 0.0686 0.9175  4 O 1.83-2.01
Ga 0.4657 0.9314 0.4175  4 O 1.83-2.01
O 0.3442 0.6885 0.0138  1 Sr 2.44, 2 Ba 2.73
O 0.6563 0.3126 0.8919  1 Ga 1.88
O 0.4781 0.9561 0.7777  1 Ga 1.83
O 0.2822 0.5645 0.6815  2 Sr 2.52, 3 Ba 2.73-2.76
O 0.9832 0.9664 0.4879  2 Ga 2.01
O 0.6558 0.3115 0.5138  1 Sr 2.44, 2 Ba 2.73
O 0.3437 0.6874 0.3919  1 Ga 1.88
O 0.5219 0.0439 0.2777  1 Ga 1.83
O 0.7178 0.4355 0.1815  2 Sr 2.52, 3 Ba 2.73-2.76
O 0.0168 0.0336 0.9879  2 Ga 2.01

Output
Its symmetry is Cmc2_1 (36). As for the calculated volume: 17.84 Å³/atom. The value obtained for the total magnetization is 2.10 μB/cell. The density of states at the Fermi level comes out at 6.64 states/eV/f.u.

# BaSrGaO2

An optimized crystal structure of BaSrGaO2 (GGA-PBE, the Alexandria database).

Cell lengths 4.5908, 5.3672, 4.5908 Å; angles 90.00, 90.00, 90.00 degrees
With the nearest neighbours (Å) after each atom.
Fractional coordinates of all 5 atoms:
O 0.0000 0.0000 0.5000  2 Ga 2.30
O 0.5000 0.0000 0.0000  2 Ga 2.30
Sr 0.5000 0.5000 0.5000  4 Ba 3.25, 8 O 3.53
Ba 0.0000 0.5000 0.0000  2 Ga 2.68
Ga 0.0000 0.0000 0.0000  4 O 2.30

Output
Its symmetry is P4/mmm (123). As for the calculated volume: 22.62 Å³/atom. The value obtained for the total magnetization is 0.00 μB/cell. The density of states at the Fermi level comes out at 4.10 states/eV/f.u.

# Ba2SrGaO

An optimized crystal structure of Ba2SrGaO (GGA-PBE, the Alexandria database).

Cell lengths 5.5848, 5.5848, 5.0280 Å; angles 90.00, 90.00, 90.00 degrees
With the nearest neighbours (Å) after each atom.
Fractional coordinates of all 5 atoms:
O 0.0000 0.0000 0.0000  2 Sr 2.51, 4 Ba 2.79
Sr 0.0000 0.0000 0.5000  2 O 2.51
Ba 0.0000 0.5000 0.0000  2 O 2.79
Ba 0.5000 0.0000 0.0000  2 O 2.79
Ga 0.5000 0.5000 0.5000  8 Ba 3.76, 4 Sr 3.95

Output
Its symmetry is P4/mmm (123). As for the calculated volume: 31.36 Å³/atom. The value obtained for the total magnetization is 0.00 μB/cell. The density of states at the Fermi level comes out at 3.75 states/eV/f.u.

no.,formation energy (no corrections) (eV per atom)
1,-2.64
2,-2.00
3,-2.25
4,-2.19
5,-0.08
6,-1.15